Entry 1:
{"formula": "NaTiSi3", "functional": "PBE-GGA", "state": "optimized geometry", "polymorph_energy_mev_per_atom": 0.0, "e_form_raw_ev_per_atom": 0.28, "spacegroup": "No. 221", "lattice": [[-2.9061, -2.7089, -2.7214], [-1.2266, -2.5792, 3.8772], [-3.6386, 3.0330, 0.8666]], "species": ["Si", "Si", "Si", "Ti", "Na"], "fractional_positions": [[0.0000, 0.0000, 0.5000], [0.5000, 0.0000, 0.0000], [0.0000, 0.5000, 0.0000], [0.0000, 0.0000, 0.0000], [0.5000, 0.5000, 0.5000]]}


Entry 2:
{"formula": "NaTiSi2", "functional": "PBE-GGA", "state": "optimized geometry", "e_form_raw_ev_per_atom": 0.38, "spacegroup": "No. 122", "lattice": [[4.5894, 0.0000, 0.0000], [0.0000, 4.5894, 0.0000], [2.2947, 2.2947, 8.6941]], "species": ["Si", "Si", "Si", "Si", "Ti", "Ti", "Na", "Na"], "fractional_positions": [[0.3750, 0.2395, 0.7500], [0.9895, 0.6250, 0.2500], [0.7605, 0.1250, 0.2500], [0.8750, 0.0105, 0.7500], [0.7500, 0.2500, 0.5000], [0.0000, 0.0000, 0.0000], [0.5000, 0.5000, 0.0000], [0.2500, 0.7500, 0.5000]]}


| no. | magnetic moment (μB/cell) |
| --- | --- |
| 1 | 0.0 |
| 2 | 1.9 |